[1]
CsNaSmTe2 PBE optimized geometry; symmetry = Cmme, No. 67; E_form (uncorrected) = -0.9455 eV/atom
1.0
-2.136 1.200 7.223
-1.540 -6.626 0.646
8.691 1.726 2.283
Cs Na Sm Te
2 2 2 4
Direct
0.257 0.750 0.500
0.743 0.250 0.500
0.000 0.000 0.000
0.000 0.500 0.000
0.500 0.750 0.000
0.500 0.250 0.000
0.717 0.882 0.764
0.717 0.618 0.236
0.283 0.382 0.764
0.283 0.118 0.236

***

[2]
Ac2HoAl9 PBE optimized geometry; symmetry = R-3m, No. 166; formation enthalpy at 0 K = -6.02 kcal/mol of atoms
1.0
5.774 0.000 0.000
2.887 5.000 0.000
2.887 1.667 9.056
Ac Ho Al
2 1 9
Direct
0.859 0.859 0.423
0.141 0.141 0.577
0.000 0.000 0.000
0.665 0.665 0.004
0.335 0.335 0.996
0.500 0.500 0.500
0.418 0.418 0.236
0.927 0.418 0.236
0.418 0.927 0.236
0.582 0.582 0.764
0.582 0.073 0.764
0.073 0.582 0.764

***

[3]
ZrAl3As PBE optimized geometry; symmetry = Pm-3m, No. 221; formation enthalpy at 0 K = 14.15 kcal/mol of atoms; energy relative to the lowest polymorph listed for this composition = 0.000 eV per formula unit
1.0
4.803 0.000 0.000
0.000 4.803 0.000
0.000 0.000 4.803
As Al Zr
1 3 1
Direct
0.000 0.000 0.000
0.000 0.500 0.000
0.000 0.000 0.500
0.500 0.000 0.000
0.500 0.500 0.500

***

[4]
LiTlGa PBE optimized geometry; symmetry = P3m1, No. 156; formation enthalpy at 0 K = -1.33 kcal/mol of atoms; energy relative to the lowest polymorph listed for this composition = 0.128 eV per formula unit
1.0
-1.842 -2.801 0.891
2.557 -0.460 3.841
-3.863 2.565 0.079
Tl Ga Li
1 1 1
Direct
0.334 0.333 0.667
0.961 0.000 0.000
0.705 0.667 0.333

***

[5]
BaSiRu2 PBE optimized geometry; symmetry = Immm, No. 71; E_form (uncorrected) = 0.4212 eV/atom
1.0
-4.995 2.171 0.349
-3.270 -4.159 1.338
4.115 3.181 1.650
Ba Ru Si
1 2 1
Direct
0.250 0.750 0.500
0.944 0.944 0.000
0.556 0.556 0.000
0.750 0.250 0.500

***

[6]
NbSnBiOs2 PBE optimized geometry; symmetry = P4/mmm, No. 123; formation enthalpy at 0 K = 37.32 kcal/mol of atoms; energy relative to the lowest polymorph listed for this composition = 0.000 eV per formula unit
1.0
-2.033 -4.414 -0.024
3.205 -1.498 4.068
-3.337 1.520 3.189
Nb Os Bi Sn
1 2 1 1
Direct
0.000 0.000 0.000
0.000 0.000 0.500
0.500 0.000 0.000
0.000 0.500 0.000
0.500 0.500 0.500

***

[7]
Li2TeF PBE optimized geometry; symmetry = I-42d, No. 122; E_form (uncorrected) = -1.6576 eV/atom; energy relative to the lowest polymorph listed for this composition = 0.000 eV per formula unit
1.0
-4.972 3.028 -1.322
-3.304 -4.554 1.996
-4.135 0.855 4.032
Te Li F
2 4 2
Direct
0.000 0.000 0.000
0.750 0.250 0.500
0.475 0.125 0.250
0.275 0.625 0.250
0.375 0.525 0.750
0.875 0.725 0.750
0.500 0.500 0.000
0.250 0.750 0.500

***

[8]
In2HgS PBE optimized geometry; symmetry = R-3m, No. 166; E_form (uncorrected) = -0.2365 eV/atom; energy relative to the lowest polymorph listed for this composition = 0.000 eV per formula unit
1.0
-2.524 2.874 0.966
-1.857 -0.093 3.480
4.237 4.872 4.629
S Hg In
1 1 2
Direct
0.000 0.000 0.000
0.500 0.500 0.500
0.258 0.258 0.225
0.742 0.742 0.775

***

[9]
TlNi4Sb PBE optimized geometry; symmetry = F-43m, No. 216; E_form (uncorrected) = 0.1717 eV/atom
1.0
-2.171 -2.761 3.563
-3.533 -3.327 -1.218
0.966 -4.899 0.305
Tl Ni Sb
1 4 1
Direct
0.000 0.000 0.000
0.874 0.375 0.375
0.375 0.375 0.874
0.375 0.874 0.375
0.375 0.375 0.375
0.750 0.750 0.750

***

[10]
PrYSi PBE optimized geometry; symmetry = F-43m, No. 216; E_form (uncorrected) = -0.4567 eV/atom; energy relative to the lowest polymorph listed for this composition = 0.110 eV per formula unit
1.0
4.967 0.000 0.000
2.484 4.302 0.000
2.484 1.434 4.056
Pr Y Si
1 1 1
Direct
0.500 0.500 0.500
0.000 0.000 0.000
0.250 0.250 0.250

***

[11]
TaNiPt2 PBE optimized geometry; symmetry = I4/mmm, No. 139; formation enthalpy at 0 K = -15.35 kcal/mol of atoms
1.0
-2.062 -0.109 -4.323
-4.291 -2.109 0.298
2.010 3.552 2.507
Ni Pt Ta
1 2 1
Direct
0.250 0.750 0.500
0.000 0.000 0.000
0.500 0.500 0.000
0.750 0.250 0.500

***

[12]
SrPm3Rh PBE optimized geometry; symmetry = Pm-3m, No. 221; formation enthalpy at 0 K = -5.11 kcal/mol of atoms; energy relative to the lowest polymorph listed for this composition = 0.011 eV per formula unit
1.0
5.651 0.000 0.000
0.000 5.651 0.000
0.000 0.000 5.651
Sr Rh Pm
1 1 3
Direct
0.500 0.500 0.500
0.000 0.000 0.000
0.000 0.500 0.000
0.000 0.000 0.500
0.500 0.000 0.000

***

| no. | magnetic moment (Bohr magnetons per cell) | theoretical density (g cm⁻³) |
| --- | --- | --- |
| 1 | 0.674 | 4.21 |
| 2 | 0.000 | 5.47 |
| 3 | 0.000 | 3.70 |
| 4 | 0.000 | 7.22 |
| 5 | 0.000 | 7.48 |
| 6 | 0.755 | 10.45 |
| 7 | 0.000 | 3.71 |
| 8 | 0.000 | 7.48 |
| 9 | 0.000 | 10.52 |
| 10 | 0.000 | 4.94 |
| 11 | 0.000 | 17.60 |
| 12 | 0.000 | 5.76 |